This record from Alexandria describes an optimized crystal structure of Ta3Fe8Si. The functional is GGA-PBEsol.

Summary:
formation energy from raw total energies	-227	meV per atom
density of states at the Fermi level	14.82	states/eV/cell
total DFT energy (no corrections)	-9.82	eV/atom

Unit cell a=4.6723 b=4.6723 c=7.6472 alpha=90.00 beta=90.00 gamma=120.00
Last column: magnetic moment on the atom in μB.
Element x y z (fractional)
Fe  0.6739  0.8369  0.7470  1.11
Fe  0.1631  0.3261  0.7470  1.11
Fe  0.5020  0.4980  0.2508  1.29
Fe  0.5020  0.0040  0.2508  1.29
Fe  0.3333  0.6667  0.9917  0.31
Fe  0.9960  0.4980  0.2508  1.29
Fe  0.3333  0.6667  0.4968  0.83
Fe  0.1631  0.8369  0.7470  1.11
Ta  0.6667  0.3333  0.9323  -0.14
Ta  0.6667  0.3333  0.5571  -0.19
Ta  0.0000  0.0000  0.0822  -0.25
Si  0.0000  0.0000  0.4464  0.00

***

This record from Alexandria describes an optimized crystal structure of Th2BiN2. The functional is GGA-PBEsol.

Summary:
formation energy from raw total energies	-1591	meV per atom
density of states at the Fermi level	1.23	states/eV/cell
total DFT energy (no corrections)	-9.10	eV/atom

Unit cell a=4.0355 b=4.0355 c=7.5121 alpha=105.58 beta=105.58 gamma=90.00
Element x y z (fractional)
Th  0.6675  0.6675  0.3349
Th  0.3325  0.3325  0.6651
Bi  0.0000  0.0000  0.0000
N  0.7500  0.2500  0.5000
N  0.2500  0.7500  0.5000

***

This record from Alexandria describes an optimized crystal structure of MnNiCl2. The functional is GGA-PBEsol.

Summary:
formation energy from raw total energies	-233	meV per atom
total DFT energy (no corrections)	-5.22	eV/atom

Unit cell a=3.2830 b=3.2830 c=6.3635 alpha=90.00 beta=90.00 gamma=90.00
Last column: magnetic moment on the atom in μB.
Element x y z (fractional)
Cl  0.0000  0.0000  0.9058  0.06
Cl  0.5000  0.5000  0.3512  0.10
Mn  0.0000  0.0000  0.5432  3.87
Ni  0.5000  0.5000  0.6998  0.69

***

Which of these has the lowest formation energy from raw total energies? Th2BiN2

***

What did the first record say?
This record from Alexandria describes an optimized crystal structure of Ta3Fe8Si. The functional is GGA-PBEsol.

Summary:
formation energy from raw total energies	-227	meV per atom
density of states at the Fermi level	14.82	states/eV/cell
total DFT energy (no corrections)	-9.82	eV/atom

Unit cell a=4.6723 b=4.6723 c=7.6472 alpha=90.00 beta=90.00 gamma=120.00
Last column: magnetic moment on the atom in μB.
Element x y z (fractional)
Fe  0.6739  0.8369  0.7470  1.11
Fe  0.1631  0.3261  0.7470  1.11
Fe  0.5020  0.4980  0.2508  1.29
Fe  0.5020  0.0040  0.2508  1.29
Fe  0.3333  0.6667  0.9917  0.31
Fe  0.9960  0.4980  0.2508  1.29
Fe  0.3333  0.6667  0.4968  0.83
Fe  0.1631  0.8369  0.7470  1.11
Ta  0.6667  0.3333  0.9323  -0.14
Ta  0.6667  0.3333  0.5571  -0.19
Ta  0.0000  0.0000  0.0822  -0.25
Si  0.0000  0.0000  0.4464  0.00

***

Look up the total DFT energy (no corrections) of the second one. -9.10 eV/atom

***

Among the records above, which one has the highest total DFT energy (no corrections)? MnNiCl2